A relaxed structure of Rb3In2Bi3. Source: the Alexandria database, functional PBE-GGA.

Calculated values
As for the formation energy: -293 meV per atom.

a b c (Å): 5.1982 14.3910 17.3139
angles (deg): 90.00 90.00 90.00
Closest atoms and distances in Å follow each position.
Space group Cmcm (No. 63)
Symmetry-distinct sites (fractional):
Rb  0.0000  0.0692  0.1129  6 Bi 3.77-4.04, 2 In 3.87
Rb  0.0000  0.3529  0.2500  4 Bi 3.61-3.77, 4 In 3.95
In  0.0000  0.2333  0.5936  4 Bi 3.08-3.13
Bi  0.0000  0.3365  0.7500  2 In 3.09
Bi  0.0000  0.3715  0.0423  3 In 3.08-3.13

=====

A relaxed structure of Ac12TlPd7. Source: the Alexandria database, functional PBE-GGA.

Calculated values
As for the formation energy: -464 meV per atom.

a b c (Å): 16.2101 16.2101 9.2974
angles (deg): 90.00 90.00 120.00
Closest atoms and distances in Å follow each position.
Space group R-3 (No. 148, hexagonal axes)
Symmetry-distinct sites (fractional):
Ac  0.0153  0.4348  0.3165  3 Pd 3.05-3.08
Ac  0.0410  0.1631  0.2811  4 Pd 3.13-3.41
Tl  0.0000  0.0000  0.0000  6 Pd 2.90
Pd  0.0000  0.0000  0.5000  6 Ac 3.13
Pd  0.0489  0.1915  0.9171  1 Tl 2.90, 5 Ac 3.05-3.20, 2 Pd 3.19

=====

A relaxed structure of EuCoTe2. Source: the Alexandria database, functional PBE-GGA.

a b c (Å): 3.8456 3.8456 27.4207
angles (deg): 90.00 90.00 120.00
Closest atoms and distances in Å follow each position.
Space group R-3m (No. 166, hexagonal axes)
Symmetry-distinct sites (fractional):
Eu  0.0000  0.0000  0.0000  2 Te 3.25
Co  0.0000  0.0000  0.5000  6 Te 2.58
Te  0.0000  0.0000  0.1184  3 Co 2.58

=====

For reference, DOS at the Fermi energy by record: 10.69, 63.36, 5.58 states/eV/cell.
For reference, total energy by record: -22.37, -97.30, -24.61 eV per formula unit.